Here is crystalline ZrFeGeAu at its relaxed geometry from OQMD via LeMat-Bulk. Energies are from PBE.

ρ = 10.11 g/cm3
Crystal system = cubic
Raw total energy = -6.37 eV/atom
Size of the total moment = 2.33 μB per formula unit

a = 6.493 Å, b = 6.493 Å, c = 6.493 Å
α = 90.00°, β = 90.00°, γ = 90.00°
Space group F-43m (No. 216)
Symmetry-distinct sites (fractional):
Zr1 0.000 0.000 0.000 (multiplicity 4)
Fe1 0.000 0.000 0.500 (multiplicity 4)
Ge1 0.250 0.250 0.250 (multiplicity 4)
Au1 0.250 0.250 0.750 (multiplicity 4)

Here is crystalline ZrFeGeAu at its relaxed geometry from OQMD via LeMat-Bulk. Energies are from PBE.

ρ = 10.13 g/cm3
Crystal system = cubic
Raw total energy = -6.26 eV/atom
Size of the total moment = 1.83 μB per formula unit

a = 6.488 Å, b = 6.488 Å, c = 6.488 Å
α = 90.00°, β = 90.00°, γ = 90.00°
Space group F-43m (No. 216)
Symmetry-distinct sites (fractional):
Zr1 0.000 0.000 0.000 (multiplicity 4)
Fe1 0.250 0.250 0.750 (multiplicity 4)
Ge1 0.000 0.000 0.500 (multiplicity 4)
Au1 0.250 0.250 0.250 (multiplicity 4)

Here is crystalline HfFeAu2 at its relaxed geometry from OQMD via LeMat-Bulk. Energies are from PBE.

ρ = 15.66 g/cm3
Calculated formation energy = -137 meV/atom
Crystal system = cubic
Size of the total moment = 2.00 μB per formula unit

a = 6.435 Å, b = 6.435 Å, c = 6.435 Å
α = 90.00°, β = 90.00°, γ = 90.00°
Space group F-43m (No. 216)
Symmetry-distinct sites (fractional):
Hf1 0.000 0.000 0.000 (multiplicity 4)
Fe1 0.250 0.250 0.250 (multiplicity 4)
Au1 0.000 0.000 0.500 (multiplicity 4)
Au2 0.250 0.250 0.750 (multiplicity 4)

Here is crystalline Hf2FeAu at its relaxed geometry from OQMD via LeMat-Bulk. Energies are from PBE.

ρ = 14.83 g/cm3
Calculated formation energy = -6 meV/atom
Crystal system = cubic
Size of the total moment = 0.98 μB per formula unit

a = 6.489 Å, b = 6.489 Å, c = 6.489 Å
α = 90.00°, β = 90.00°, γ = 90.00°
Space group F-43m (No. 216)
Symmetry-distinct sites (fractional):
Hf1 0.000 0.000 0.000 (multiplicity 4)
Hf2 0.250 0.250 0.250 (multiplicity 4)
Fe1 0.250 0.250 0.750 (multiplicity 4)
Au1 0.000 0.000 0.500 (multiplicity 4)